[1]
Density functional theory data (PBE) for Tb5NdY3 after structural relaxation.

Properties
Symmetry: C2/m
Energy of formation in eV per atom: 0.4115
M_tot in μB/f.u.: 0.0
Total energy in eV/atom: -4.85
Energy above the lowest structure with this stoichiometry in eV per atom: 0.116

Cell lengths 9.3337, 9.3337, 12.3368 Å; angles 126.04, 126.04, 50.92 degrees
Closest atoms and distances in Å follow each position.
Sites, in units of the cell vectors:
Tb 0.1804 0.8196 0.0000  1 Y 2.56
Tb 0.2000 0.2000 0.0715  5 Tb 3.22-3.52, 1 Nd 3.26
Tb 0.2307 0.6411 0.2206  5 Tb 3.29-3.65, 2 Y 3.44-3.68, 2 Nd 3.63-3.65
Tb 0.3589 0.7693 0.7794  5 Tb 3.29-3.65, 2 Y 3.44-3.68, 2 Nd 3.63-3.65
Tb 0.3758 0.3758 0.4336  6 Tb 3.36-3.76, 2 Y 3.41-3.55
Tb 0.6242 0.6242 0.5664  6 Tb 3.36-3.76, 2 Y 3.41-3.55
Tb 0.6411 0.2307 0.2206  5 Tb 3.29-3.65, 2 Y 3.44-3.68, 2 Nd 3.63-3.65
Tb 0.7693 0.3589 0.7794  5 Tb 3.29-3.65, 2 Y 3.44-3.68, 2 Nd 3.63-3.65
Tb 0.8000 0.8000 0.9285  5 Tb 3.22-3.52, 1 Nd 3.26
Tb 0.8196 0.1804 0.0000  1 Y 2.56
Nd 0.2638 0.2638 0.8725  2 Y 3.19-3.39, 1 Tb 3.26
Nd 0.7362 0.7362 0.1275  2 Y 3.19-3.39, 1 Tb 3.26
Y 0.0000 0.0000 0.5000  4 Tb 3.71, 2 Nd 3.78, 2 Y 3.92
Y 0.1188 0.1188 0.3132  1 Y 3.29, 5 Tb 3.31-3.55
Y 0.3229 0.3229 0.6577  2 Y 3.21-3.29, 1 Nd 3.39, 1 Tb 3.41
Y 0.5000 0.5000 0.0000  2 Tb 2.56
Y 0.6771 0.6771 0.3423  2 Y 3.21-3.29, 1 Nd 3.39, 1 Tb 3.41
Y 0.8812 0.8812 0.6868  1 Y 3.29, 5 Tb 3.31-3.55

---

[2]
Density functional theory data (PBE) for NdZrCdGa after structural relaxation.

Properties
Symmetry: F-43m
Energy of formation in eV per atom: -0.2713
M_tot in μB/f.u.: 0.0
Total energy in eV/atom: -4.59

Cell lengths 5.1009, 5.1009, 5.1009 Å; angles 60.00, 60.00, 60.00 degrees
Closest atoms and distances in Å follow each position.
Sites, in units of the cell vectors:
Nd 0.0000 0.0000 0.0000  4 Ga 3.12, 4 Cd 3.12
Zr 0.5000 0.5000 0.5000  4 Cd 3.12, 4 Ga 3.12
Cd 0.2500 0.2500 0.2500  4 Zr 3.12, 4 Nd 3.12
Ga 0.7500 0.7500 0.7500  4 Zr 3.12, 4 Nd 3.12

---

[3]
Density functional theory data (PBE) for NdDyTmHg after structural relaxation.

Properties
Symmetry: P4mm
Energy of formation in eV per atom: -0.2325
M_tot in μB/f.u.: 0.0
Total energy in eV/atom: -3.77
Energy above the lowest structure with this stoichiometry in eV per atom: 0.000

Cell lengths 3.6274, 3.6274, 8.8938 Å; angles 90.00, 90.00, 90.00 degrees
Closest atoms and distances in Å follow each position.
Sites, in units of the cell vectors:
Nd 0.0000 0.0000 0.0000  4 Tm 3.59, 4 Dy 3.61, 4 Nd 3.63
Dy 0.5000 0.5000 0.7144  4 Hg 3.24, 4 Nd 3.61
Tm 0.5000 0.5000 0.2826  4 Hg 3.17
Hg 0.0000 0.0000 0.4922  4 Tm 3.17, 4 Dy 3.24

---

[4]
Density functional theory data (PBE) for Pa2SI6 after structural relaxation.

Properties
Symmetry: C2/m
Formation energy from raw total energies in eV per formula unit: -8.51
M_tot in μB/f.u.: 1.4
Total energy in eV/atom: -4.55

Cell lengths 9.2040, 9.2040, 13.3139 Å; angles 120.76, 120.76, 23.20 degrees
Closest atoms and distances in Å follow each position.
Sites, in units of the cell vectors:
Pa 0.0420 0.0420 0.1800  2 S 2.80
Pa 0.9580 0.9580 0.8200  2 S 2.80
S 0.5000 0.5000 0.0000  4 Pa 2.80
I 0.2962 0.2962 0.7631  2 Pa 3.19, 1 S 3.37
I 0.3818 0.3818 0.1293  2 Pa 3.19, 1 S 3.37
I 0.4064 0.4064 0.5992  2 Pa 3.17
I 0.5936 0.5936 0.4008  2 Pa 3.17
I 0.6182 0.6182 0.8707  2 Pa 3.19, 1 S 3.37
I 0.7038 0.7038 0.2369  2 Pa 3.19, 1 S 3.37

---

[5]
Density functional theory data (PBE) for BaLaSCl2 after structural relaxation.

Properties
Symmetry: P4/mmm
Formation energy from raw total energies in eV per formula unit: -9.26
M_tot in μB/f.u.: 0.0
Total energy in eV/atom: -4.79

Cell lengths 5.5395, 5.5395, 5.5668 Å; angles 90.00, 90.00, 90.00 degrees
Closest atoms and distances in Å follow each position.
Sites, in units of the cell vectors:
Ba 0.0000 0.0000 0.0000  4 S 3.92, 8 Cl 3.93
La 0.5000 0.5000 0.5000  4 Cl 2.77, 2 S 2.78
S 0.5000 0.5000 0.0000  2 La 2.78
Cl 0.0000 0.5000 0.5000  2 La 2.77
Cl 0.5000 0.0000 0.5000  2 La 2.77

---

[6]
Density functional theory data (PBE) for Na4Tl3F8 after structural relaxation.

Properties
Symmetry: C2/m
Formation energy from raw total energies in eV per formula unit: -33.01
M_tot in μB/f.u.: 0.0
Total energy in eV/atom: -4.02

Cell lengths 7.0967, 7.0967, 7.0858 Å; angles 118.38, 118.38, 90.53 degrees
Closest atoms and distances in Å follow each position.
Sites, in units of the cell vectors:
Na 0.0000 0.0000 0.0000  6 F 2.33-2.41
Na 0.0000 0.0000 0.5000  6 F 2.33-2.37
Na 0.0000 0.5000 0.0000  6 F 2.50-2.62
Na 0.5000 0.0000 0.0000  6 F 2.50-2.62
Tl 0.0000 0.5000 0.5000  6 F 2.50-2.62
Tl 0.5000 0.0000 0.5000  6 F 2.50-2.62
Tl 0.5000 0.5000 0.0000  6 F 2.65-2.83
F 0.2103 0.2103 0.9459  4 Na 2.33-2.54
F 0.2140 0.2140 0.4611  2 Na 2.33-2.41, 2 Tl 2.53
F 0.2309 0.7691 0.0000  3 Na 2.33-2.50
F 0.2351 0.7649 0.5000  3 Na 2.37-2.62, 2 Tl 2.50
F 0.7649 0.2351 0.5000  3 Na 2.37-2.62, 2 Tl 2.50
F 0.7691 0.2309 0.0000  3 Na 2.33-2.50
F 0.7860 0.7860 0.5389  2 Na 2.33-2.41, 2 Tl 2.53
F 0.7897 0.7897 0.0541  4 Na 2.33-2.54

---

[7]
Density functional theory data (PBE) for Ho3AlP2Ir9 after structural relaxation.

Properties
Symmetry: P-3m1
Energy of formation in eV per atom: -0.4445
M_tot in μB/f.u.: 0.0
Total energy in eV/atom: -7.65

Cell lengths 5.6036, 5.6036, 10.3131 Å; angles 90.00, 90.00, 120.00 degrees
Closest atoms and distances in Å follow each position.
Sites, in units of the cell vectors:
Ho 0.0000 0.0000 0.0000  6 Ir 2.80
Ho 0.3333 0.6667 0.5783  9 Ir 3.04-3.26, 3 Al 3.33
Ho 0.6667 0.3333 0.4217  9 Ir 3.04-3.26, 3 Al 3.33
Al 0.0000 0.0000 0.5000  6 Ir 2.51
P 0.3333 0.6667 0.1609  6 Ir 2.27-2.32
P 0.6667 0.3333 0.8391  6 Ir 2.27-2.32
Ir 0.0000 0.5000 0.0000  2 P 2.32
Ir 0.1594 0.3188 0.3084  1 P 2.27, 1 Al 2.51
Ir 0.1594 0.8406 0.3084  1 P 2.27, 1 Al 2.51
Ir 0.3188 0.1594 0.6916  1 P 2.27, 1 Al 2.51
Ir 0.5000 0.0000 0.0000  2 P 2.32
Ir 0.5000 0.5000 0.0000  2 P 2.32
Ir 0.6812 0.8406 0.3084  1 P 2.27, 1 Al 2.51
Ir 0.8406 0.1594 0.6916  1 P 2.27, 1 Al 2.51
Ir 0.8406 0.6812 0.6916  1 P 2.27, 1 Al 2.51

---

[8]
Density functional theory data (PBE) for La2MnBPt6 after structural relaxation.

Properties
Symmetry: R-3m
Energy of formation in eV per atom: -0.8079
M_tot in μB/f.u.: 4.4
Total energy in eV/atom: -7.00

Cell lengths 7.3594, 7.3594, 7.3594 Å; angles 46.17, 46.17, 46.17 degrees
Closest atoms and distances in Å follow each position.
Sites, in units of the cell vectors:
La 0.2160 0.2160 0.2160  6 Pt 3.08
La 0.7840 0.7840 0.7840  6 Pt 3.08
Mn 0.5000 0.5000 0.5000  6 Pt 2.60
B 0.0000 0.0000 0.0000  6 Pt 2.12
Pt 0.2357 0.2357 0.7168  1 B 2.12
Pt 0.2357 0.7168 0.2357  1 B 2.12
Pt 0.2832 0.7643 0.7643  1 B 2.12
Pt 0.7168 0.2357 0.2357  1 B 2.12
Pt 0.7643 0.2832 0.7643  1 B 2.12
Pt 0.7643 0.7643 0.2832  1 B 2.12

---

[9]
Density functional theory data (PBE) for Ce3ErIr after structural relaxation.

Properties
Symmetry: Pmn2_1
Energy of formation in eV per atom: -0.1964
M_tot in μB/f.u.: 0.0
Total energy in eV/atom: -6.44

Cell lengths 7.1824, 6.4527, 6.1377 Å; angles 90.00, 90.00, 90.00 degrees
Closest atoms and distances in Å follow each position.
Sites, in units of the cell vectors:
Ce 0.0000 0.0752 0.0000  1 Ir 2.76, 2 Ce 2.81
Ce 0.2413 0.7328 0.0023  2 Ir 2.78-2.87, 1 Ce 2.81
Ce 0.2587 0.2672 0.5023  2 Ir 2.78-2.87, 1 Ce 2.81
Ce 0.5000 0.9248 0.5000  1 Ir 2.76, 2 Ce 2.81
Ce 0.7413 0.2672 0.5023  2 Ir 2.78-2.87, 1 Ce 2.81
Ce 0.7587 0.7328 0.0023  2 Ir 2.78-2.87, 1 Ce 2.81
Er 0.0000 0.7785 0.5073  1 Ir 2.77
Er 0.5000 0.2215 0.0073  1 Ir 2.77
Ir 0.0000 0.4463 0.2221  5 Ce 2.76-2.87, 1 Er 2.77
Ir 0.5000 0.5537 0.7221  5 Ce 2.76-2.87, 1 Er 2.77

---

[10]
Density functional theory data (PBE) for Ba2AlCd2 after structural relaxation.

Properties
Symmetry: P4/mmm
Energy of formation in eV per atom: 0.2205
M_tot in μB/f.u.: 0.0
Total energy in eV/atom: -1.66
Energy above the lowest structure with this stoichiometry in eV per atom: 0.469

Cell lengths 6.5298, 6.5298, 5.2194 Å; angles 90.00, 90.00, 90.00 degrees
Closest atoms and distances in Å follow each position.
Sites, in units of the cell vectors:
Ba 0.0000 0.5000 0.0000  2 Cd 3.26
Ba 0.5000 0.0000 0.0000  2 Cd 3.26
Al 0.0000 0.0000 0.5000  8 Ba 4.18, 4 Cd 4.62
Cd 0.5000 0.5000 0.0000  2 Cd 2.61
Cd 0.5000 0.5000 0.5000  2 Cd 2.61

---

[11]
Density functional theory data (PBE) for WSe3Br after structural relaxation.

Properties
Symmetry: Pm-3m
Formation energy from raw total energies in eV per formula unit: 8.76
M_tot in μB/f.u.: 3.1
Total energy in eV/atom: -3.26
Energy above the lowest structure with this stoichiometry in eV per atom: 1.785

Cell lengths 5.0750, 5.0750, 5.0750 Å; angles 90.00, 90.00, 90.00 degrees
Closest atoms and distances in Å follow each position.
Sites, in units of the cell vectors:
W 0.0000 0.0000 0.0000  12 Se 3.59
Se 0.0000 0.5000 0.5000  2 Br 2.54
Se 0.5000 0.0000 0.5000  2 Br 2.54
Se 0.5000 0.5000 0.0000  2 Br 2.54
Br 0.5000 0.5000 0.5000  6 Se 2.54

---

[12]
Density functional theory data (PBE) for LiPaNiH6 after structural relaxation.

Properties
Symmetry: P-6m2
M_tot in μB/f.u.: 0.0
Total energy in eV/atom: -4.39

Cell lengths 4.2587, 4.2587, 4.2457 Å; angles 90.00, 90.00, 120.00 degrees
Closest atoms and distances in Å follow each position.
Sites, in units of the cell vectors:
Li 0.0000 0.0000 0.0000  6 H 1.75
Pa 0.6667 0.3333 0.5000  12 H 2.32
Ni 0.3333 0.6667 0.0000  6 H 1.68
H 0.1732 0.3465 0.2827  1 Ni 1.68, 1 Li 1.75, 1 H 1.85
H 0.1732 0.3465 0.7173  1 Ni 1.68, 1 Li 1.75, 1 H 1.85
H 0.1732 0.8268 0.2827  1 Ni 1.68, 1 Li 1.75, 1 H 1.85
H 0.1732 0.8268 0.7173  1 Ni 1.68, 1 Li 1.75, 1 H 1.85
H 0.6535 0.8268 0.2827  1 Ni 1.68, 1 Li 1.75, 1 H 1.85
H 0.6535 0.8268 0.7173  1 Ni 1.68, 1 Li 1.75, 1 H 1.85